The following is a PBE-GGA calculation of crystalline Li2IrW at its relaxed geometry, from Alexandria via LeMat-Bulk.

a b c (Å): 2.5781 2.5781 8.8808
angles (deg): 90.00 90.00 90.00
Last column: nearest neighbours and their distance in Å.
Sites, in units of the cell vectors:
Ir 0.5000 0.5000 0.7500  4 Ir 2.58, 8 Li 2.74
Li 0.0000 0.0000 0.9804  4 Li 2.58, 4 Ir 2.74
Li 0.0000 0.0000 0.5196  4 Li 2.58, 4 Ir 2.74
W 0.5000 0.5000 0.2500  4 W 2.58

Formation energy from the elements = 1.21 eV/f.u.
Crystal system = tetragonal
Final energy = -24.4 eV/cell